Record 1
YCuAu4 | OQMD via LeMat-Bulk | PBE | relaxed; E = -4.2540 eV per atom; theoretical density = 13.721 g cm⁻³; calculated formation energy = -379 meV/atom; space group = P4/mmm
1.0
3.580 0.000 0.000
0.000 3.580 0.000
0.000 0.000 8.881
Y Cu Au
1 1 4
Direct
0.000 0.000 0.000
0.500 0.500 0.500
0.000 0.000 0.347
0.000 0.000 0.653
0.500 0.500 0.188
0.500 0.500 0.812



Record 2
Y2CuAu2 | OQMD via LeMat-Bulk | PBE | relaxed; E = -4.9897 eV per atom; ΔE to the lowest computed polymorph = 0.0000 eV per atom; theoretical density = 8.588 g cm⁻³; calculated formation energy = -354 meV/atom; space group = I4/mmm
1.0
-2.811 2.811 3.886
2.811 -2.811 3.886
2.811 2.811 -3.886
Y Cu Au
2 1 2
Direct
0.250 0.750 0.500
0.750 0.250 0.500
0.000 0.000 0.000
0.333 0.333 0.000
0.667 0.667 0.000



Record 3
Y2Cu2Au | OQMD via LeMat-Bulk | PBE | relaxed; E = -4.9606 eV per atom; theoretical density = 8.103 g cm⁻³; calculated formation energy = -234 meV/atom; space group = I4/mmm
1.0
-1.837 1.837 7.620
1.837 -1.837 7.620
1.837 1.837 -7.620
Y Cu Au
2 2 1
Direct
0.108 0.108 0.000
0.892 0.892 0.000
0.250 0.750 0.500
0.750 0.250 0.500
0.500 0.500 0.000



Record 4
Zr2Cu2Au | OQMD via LeMat-Bulk | PBE | relaxed; E = -5.8431 eV per atom; theoretical density = 9.686 g cm⁻³; calculated formation energy = -284 meV/atom; space group = P4/mbm
1.0
6.948 0.000 0.000
0.000 6.948 0.000
0.000 0.000 3.597
Zr Cu Au
4 4 2
Direct
0.171 0.329 0.000
0.329 0.829 0.000
0.671 0.171 0.000
0.829 0.671 0.000
0.125 0.625 0.500
0.375 0.125 0.500
0.625 0.875 0.500
0.875 0.375 0.500
0.000 0.000 0.500
0.500 0.500 0.500



Record 5
ZrCu2Au3 | OQMD via LeMat-Bulk | PBE | relaxed; E = -4.4536 eV per atom; theoretical density = 13.250 g cm⁻³; calculated formation energy = -157 meV/atom; space group = P4mm
1.0
3.196 0.000 0.000
0.000 3.196 0.000
0.000 0.000 9.927
Zr Cu Au
1 2 3
Direct
0.000 0.000 0.000
0.000 0.000 0.351
0.500 0.500 0.827
0.000 0.000 0.683
0.500 0.500 0.196
0.500 0.500 0.496



Record 6
ZrCuAu4 | OQMD via LeMat-Bulk | PBE | relaxed; E = -4.4743 eV per atom; theoretical density = 14.554 g cm⁻³; calculated formation energy = -253 meV/atom; space group = P4/mmm
1.0
3.444 0.000 0.000
0.000 3.444 0.000
0.000 0.000 9.066
Zr Cu Au
1 1 4
Direct
0.000 0.000 0.000
0.500 0.500 0.500
0.000 0.000 0.347
0.000 0.000 0.653
0.500 0.500 0.177
0.500 0.500 0.823



Record 7
ZrCuAu2 | OQMD via LeMat-Bulk | PBE | relaxed; E = -5.0257 eV per atom; theoretical density = 13.074 g cm⁻³; calculated formation energy = -326 meV/atom; space group = F-43m
1.0
0.000 3.266 3.266
3.266 0.000 3.266
3.266 3.266 0.000
Zr Cu Au
1 1 2
Direct
0.000 0.000 0.000
0.250 0.250 0.250
0.500 0.500 0.500
0.750 0.750 0.750



Record 8
DyAu2 | OQMD via LeMat-Bulk | PBE | relaxed; E = -4.2564 eV per atom; theoretical density = 12.142 g cm⁻³; calculated formation energy = -545 meV/atom; space group = Fm-3m
1.0
0.000 3.363 3.363
3.363 0.000 3.363
3.363 3.363 0.000
Dy Au
1 2
Direct
0.000 0.000 0.000
0.250 0.250 0.250
0.750 0.750 0.750



Record 9
DyAu | OQMD via LeMat-Bulk | PBE | relaxed; E = -4.5705 eV per atom; theoretical density = 12.683 g cm⁻³; calculated formation energy = -637 meV/atom; space group = P-6m2
1.0
3.567 0.000 0.000
-1.783 3.089 0.000
0.000 0.000 4.272
Dy Au
1 1
Direct
0.000 0.000 0.000
0.333 0.667 0.500



Record 10
DyAu2 | OQMD via LeMat-Bulk | PBE | relaxed; E = -4.5815 eV per atom; theoretical density = 14.708 g cm⁻³; calculated formation energy = -870 meV/atom; space group = P4/nmm
1.0
3.720 0.000 0.000
0.000 3.720 0.000
0.000 0.000 9.079
Dy Au
2 4
Direct
0.250 0.250 0.250
0.750 0.750 0.750
0.250 0.250 0.585
0.250 0.250 0.914
0.750 0.750 0.086
0.750 0.750 0.415



Record 11
DyAu | OQMD via LeMat-Bulk | PBE | relaxed; E = -4.1954 eV per atom; theoretical density = 8.929 g cm⁻³; calculated formation energy = -261 meV/atom; space group = F-43m
1.0
0.000 3.221 3.221
3.221 0.000 3.221
3.221 3.221 0.000
Dy Au
1 1
Direct
0.000 0.000 0.000
0.250 0.250 0.250



Record 12
DyErAu | OQMD via LeMat-Bulk | PBE | relaxed; E = -4.7945 eV per atom; ΔE to the lowest computed polymorph = 0.0000 eV per atom; theoretical density = 11.322 g cm⁻³; calculated formation energy = -651 meV/atom; space group = Pnma
1.0
7.079 0.000 0.000
0.000 4.925 0.000
0.000 0.000 8.863
Dy Er Au
4 4 4
Direct
0.014 0.250 0.177
0.486 0.750 0.677
0.514 0.250 0.323
0.986 0.750 0.823
0.149 0.250 0.580
0.351 0.750 0.080
0.649 0.250 0.920
0.851 0.750 0.420
0.244 0.250 0.901
0.256 0.750 0.401
0.744 0.250 0.599
0.756 0.750 0.099



Record 13
DyErAu2 | OQMD via LeMat-Bulk | PBE | relaxed; E = -4.8178 eV per atom; ΔE to the lowest computed polymorph = 0.0000 eV per atom; theoretical density = 12.832 g cm⁻³; calculated formation energy = -893 meV/atom; space group = Amm2
1.0
4.639 0.000 0.000
0.000 1.851 5.455
0.000 -1.851 5.455
Dy Er Au
1 1 2
Direct
0.000 0.000 0.000
0.500 0.279 0.279
0.000 0.729 0.729
0.500 0.551 0.551



Record 14
DyErAu2 | OQMD via LeMat-Bulk | PBE | relaxed; E = -4.8081 eV per atom; ΔE to the lowest computed polymorph = 0.0097 eV per atom; theoretical density = 12.861 g cm⁻³; calculated formation energy = -884 meV/atom; space group = Pmc2_1
1.0
4.691 0.000 0.000
0.000 5.595 0.000
0.000 0.000 7.121
Dy Er Au
2 2 4
Direct
0.000 0.095 0.000
0.000 0.905 0.500
0.500 0.404 0.624
0.500 0.596 0.124
0.000 0.412 0.353
0.000 0.588 0.853
0.500 0.091 0.271
0.500 0.909 0.771



Record 15
DyErAu4 | OQMD via LeMat-Bulk | PBE | relaxed; E = -4.5825 eV per atom; theoretical density = 14.864 g cm⁻³; calculated formation energy = -877 meV/atom; space group = P4/mmm
1.0
3.721 0.000 0.000
0.000 3.721 0.000
0.000 0.000 9.019
Dy Er Au
1 1 4
Direct
0.000 0.000 0.000
0.500 0.500 0.500
0.000 0.000 0.335
0.000 0.000 0.665
0.500 0.500 0.166
0.500 0.500 0.834



Record 16
DyErAu | OQMD via LeMat-Bulk | PBE | relaxed; E = -4.6042 eV per atom; ΔE to the lowest computed polymorph = 0.1903 eV per atom; theoretical density = 10.423 g cm⁻³; calculated formation energy = -460 meV/atom; space group = F-43m
1.0
0.000 3.475 3.475
3.475 0.000 3.475
3.475 3.475 0.000
Dy Er Au
1 1 1
Direct
0.000 0.000 0.000
0.500 0.500 0.500
0.250 0.250 0.250



Record 17
Dy2ErGa4Au | OQMD via LeMat-Bulk | PBE | relaxed; E = -4.1620 eV per atom; theoretical density = 9.213 g cm⁻³; space group = Amm2
1.0
6.455 0.000 0.000
0.000 2.016 6.704
0.000 -2.016 6.704
Dy Er Ga Au
2 1 4 1
Direct
0.000 0.000 0.000
0.500 0.461 0.461
0.000 0.274 0.274
0.221 0.635 0.635
0.304 0.826 0.826
0.696 0.826 0.826
0.779 0.635 0.635
0.500 0.177 0.177



Record 18
DyEr2Ga4Au | OQMD via LeMat-Bulk | PBE | relaxed; E = -4.1488 eV per atom; theoretical density = 9.411 g cm⁻³; space group = Amm2
1.0
6.587 0.000 0.000
0.000 2.211 5.894
0.000 -2.211 5.894
Dy Er Ga Au
1 2 4 1
Direct
0.000 0.000 0.000
0.000 0.280 0.280
0.500 0.149 0.149
0.207 0.614 0.614
0.312 0.826 0.826
0.688 0.826 0.826
0.793 0.614 0.614
0.500 0.434 0.434



Record 19
DyErGe2Au2 | OQMD via LeMat-Bulk | PBE | relaxed; E = -4.9836 eV per atom; theoretical density = 11.469 g cm⁻³; space group = P3m1
1.0
4.459 0.000 0.000
-2.229 3.861 0.000
0.000 0.000 7.308
Dy Er Ge Au
1 1 2 2
Direct
0.000 0.000 0.000
0.000 0.000 0.499
0.333 0.667 0.206
0.667 0.333 0.705
0.333 0.667 0.785
0.667 0.333 0.294



Record 20
Dy2ErGe4Au4 | OQMD via LeMat-Bulk | PBE | relaxed; E = -4.7799 eV per atom; theoretical density = 11.608 g cm⁻³; space group = Immm
1.0
-2.180 3.530 7.299
2.180 -3.530 7.299
2.180 3.530 -7.299
Dy Er Ge Au
2 1 4 4
Direct
0.126 0.126 0.000
0.874 0.874 0.000
0.500 0.000 0.500
0.186 0.500 0.686
0.284 0.784 0.500
0.716 0.216 0.500
0.814 0.500 0.314
0.131 0.333 0.798
0.465 0.667 0.798
0.535 0.333 0.202
0.869 0.667 0.202